# TaV2Co PBE optimized geometry
# **Offset from the most stable computed form**: 22 meV per atom
# **Formation enthalpy at 0 K**: 0.02 eV per atom
data_TaV2Co
_chemical_formula_sum 'Ta2 V4 Co2'
_symmetry_space_group_name_H-M 'P 1'
_symmetry_Int_Tables_number 1
_symmetry_space_group_name_Hall 'P 1'
_cell_length_a 9.5608
_cell_length_b 9.5608
_cell_length_c 4.1504
_cell_angle_alpha 90.00
_cell_angle_beta 90.00
_cell_angle_gamma 162.69
loop_
_atom_site_label
_atom_site_fract_x
_atom_site_fract_y
_atom_site_fract_z
Ta1 0.1172 0.8828 0.7500
Ta2 0.8828 0.1172 0.2500
V1 0.2492 0.7508 0.2500
V2 0.4805 0.5195 0.7500
V3 0.5195 0.4805 0.2500
V4 0.7508 0.2492 0.7500
Co1 0.3499 0.6501 0.7500
Co2 0.6501 0.3499 0.2500

=====

# TaV2Co5 PBE optimized geometry
# **Offset from the most stable computed form**: 0 meV per atom
# **Formation enthalpy at 0 K**: -0.17 eV per atom
data_TaV2Co5
_chemical_formula_sum 'Ta1 V2 Co5'
_symmetry_space_group_name_H-M 'P 1'
_symmetry_Int_Tables_number 1
_symmetry_space_group_name_Hall 'P 1'
_cell_length_a 7.5955
_cell_length_b 7.5955
_cell_length_c 7.5955
_cell_angle_alpha 152.20
_cell_angle_beta 152.20
_cell_angle_gamma 39.72
loop_
_atom_site_label
_atom_site_fract_x
_atom_site_fract_y
_atom_site_fract_z
Ta1 0.0000 0.0000 0.0000
V1 0.2463 0.2463 0.0000
V2 0.7537 0.7537 0.0000
Co1 0.1279 0.6279 0.5000
Co2 0.3721 0.8721 0.5000
Co3 0.5000 0.5000 0.0000
Co4 0.6279 0.1279 0.5000
Co5 0.8721 0.3721 0.5000

=====

# Ta3VCo PBE optimized geometry
# **Offset from the most stable computed form**: 548 meV per atom
# **Formation enthalpy at 0 K**: 1.43 eV per atom
data_Ta3VCo
_chemical_formula_sum 'Ta3 V1 Co1'
_symmetry_space_group_name_H-M 'P 1'
_symmetry_Int_Tables_number 1
_symmetry_space_group_name_Hall 'P 1'
_cell_length_a 4.5893
_cell_length_b 4.5893
_cell_length_c 4.5893
_cell_angle_alpha 90.00
_cell_angle_beta 90.00
_cell_angle_gamma 90.00
loop_
_atom_site_label
_atom_site_fract_x
_atom_site_fract_y
_atom_site_fract_z
Ta1 0.0000 0.0000 0.5000
Ta2 0.0000 0.5000 0.0000
Ta3 0.5000 0.0000 0.0000
V1 0.0000 0.0000 0.0000
Co1 0.5000 0.5000 0.5000

=====

# TaV2Co PBE optimized geometry
# **Offset from the most stable computed form**: 23 meV per atom
# **Formation enthalpy at 0 K**: 0.02 eV per atom
data_TaV2Co
_chemical_formula_sum 'Ta1 V2 Co1'
_symmetry_space_group_name_H-M 'P 1'
_symmetry_Int_Tables_number 1
_symmetry_space_group_name_Hall 'P 1'
_cell_length_a 4.2749
_cell_length_b 4.2749
_cell_length_c 4.2749
_cell_angle_alpha 60.00
_cell_angle_beta 60.00
_cell_angle_gamma 60.00
loop_
_atom_site_label
_atom_site_fract_x
_atom_site_fract_y
_atom_site_fract_z
Ta1 0.0000 0.0000 0.0000
V1 0.2500 0.2500 0.2500
V2 0.7500 0.7500 0.7500
Co1 0.5000 0.5000 0.5000

=====

# Ta2VCo6 PBE optimized geometry
# **Formation enthalpy at 0 K**: -0.12 eV per atom
data_Ta2VCo6
_chemical_formula_sum 'Ta2 V1 Co6'
_symmetry_space_group_name_H-M 'P 1'
_symmetry_Int_Tables_number 1
_symmetry_space_group_name_Hall 'P 1'
_cell_length_a 4.9902
_cell_length_b 4.9902
_cell_length_c 5.2243
_cell_angle_alpha 90.00
_cell_angle_beta 90.00
_cell_angle_gamma 120.00
loop_
_atom_site_label
_atom_site_fract_x
_atom_site_fract_y
_atom_site_fract_z
Ta1 0.3333 0.6667 0.3514
Ta2 0.6667 0.3333 0.6486
V1 0.0000 0.0000 0.5000
Co1 0.1767 0.3534 0.8239
Co2 0.1767 0.8233 0.8239
Co3 0.3534 0.1767 0.1761
Co4 0.6466 0.8233 0.8239
Co5 0.8233 0.1767 0.1761
Co6 0.8233 0.6466 0.1761

=====

# Ta2VCo PBE optimized geometry
# **Formation enthalpy at 0 K**: -0.11 eV per atom
data_Ta2VCo
_chemical_formula_sum 'Ta2 V1 Co1'
_symmetry_space_group_name_H-M 'P 1'
_symmetry_Int_Tables_number 1
_symmetry_space_group_name_Hall 'P 1'
_cell_length_a 3.1227
_cell_length_b 3.1227
_cell_length_c 6.1644
_cell_angle_alpha 90.00
_cell_angle_beta 90.00
_cell_angle_gamma 90.00
loop_
_atom_site_label
_atom_site_fract_x
_atom_site_fract_y
_atom_site_fract_z
Ta1 0.0000 0.0000 0.2465
Ta2 0.0000 0.0000 0.7535
V1 0.5000 0.5000 0.5000
Co1 0.5000 0.5000 0.0000

=====

# TaV5Co2 PBE optimized geometry
# **Formation enthalpy at 0 K**: 0.06 eV per atom
data_TaV5Co2
_chemical_formula_sum 'Ta1 V5 Co2'
_symmetry_space_group_name_H-M 'P 1'
_symmetry_Int_Tables_number 1
_symmetry_space_group_name_Hall 'P 1'
_cell_length_a 6.6428
_cell_length_b 6.6428
_cell_length_c 6.6428
_cell_angle_alpha 155.49
_cell_angle_beta 115.80
_cell_angle_gamma 69.81
loop_
_atom_site_label
_atom_site_fract_x
_atom_site_fract_y
_atom_site_fract_z
Ta1 0.0000 0.0000 0.0000
V1 0.1465 0.3640 0.7825
V2 0.4185 0.6360 0.7825
V3 0.5000 0.0000 0.5000
V4 0.5815 0.3640 0.2175
V5 0.8535 0.6360 0.2175
Co1 0.2409 0.7409 0.5000
Co2 0.7591 0.2591 0.5000

=====

# Ta2V3Co PBE optimized geometry
# **Formation enthalpy at 0 K**: -0.18 eV per atom
data_Ta2V3Co
_chemical_formula_sum 'Ta2 V3 Co1'
_symmetry_space_group_name_H-M 'P 1'
_symmetry_Int_Tables_number 1
_symmetry_space_group_name_Hall 'P 1'
_cell_length_a 5.0051
_cell_length_b 5.0051
_cell_length_c 5.0051
_cell_angle_alpha 59.28
_cell_angle_beta 59.28
_cell_angle_gamma 59.28
loop_
_atom_site_label
_atom_site_fract_x
_atom_site_fract_y
_atom_site_fract_z
Ta1 0.1273 0.1273 0.1273
Ta2 0.8727 0.8727 0.8727
V1 0.0000 0.5000 0.5000
V2 0.5000 0.0000 0.5000
V3 0.5000 0.5000 0.0000
Co1 0.5000 0.5000 0.5000

=====

For reference, raw total energy by record: -9.28, -8.37, -8.92, -9.28, -8.51, -10.09, -8.89, -9.87 eV/atom.